Record 1
The following is a DFT calculation (meta-GGA SCAN) of SbPIr at its PBEsol-relaxed geometry.

Properties
**Symmetry**: Imm2
**Formation energy from raw total energies**: 0.567 eV per atom

Cell: 4.715 4.715 4.715 Å, 133.90 133.44 67.60°
Fractional coordinates of all 3 atoms:
1 Sb 0.000 0.000 0.000
2 P 0.334 0.334 0.000
3 Ir 0.632 0.632 0.000



Record 2
The following is a DFT calculation (meta-GGA SCAN) of Be2GaAg at its PBEsol-relaxed geometry.

Properties
**Formation energy**: 55.86 kJ per mole of atoms
**Symmetry**: I-42d

Cell: 5.350 5.350 5.350 Å, 102.42 102.42 124.73°
Fractional coordinates of all 8 atoms:
1 Be 0.124 0.125 0.499
2 Be 0.375 0.876 0.001
3 Be 0.626 0.625 0.501
4 Be 0.875 0.374 0.999
5 Ga 0.250 0.750 0.500
6 Ga 0.500 0.500 0.000
7 Ag 0.000 0.000 0.000
8 Ag 0.750 0.250 0.500



Record 3
The following is a DFT calculation (meta-GGA SCAN) of K2RuPb at its PBEsol-relaxed geometry.

Properties
**Formation energy**: 39.02 kJ per mole of atoms
**Symmetry**: P4mm

Cell: 3.627 3.627 9.951 Å, 90.00 90.00 90.00°
Fractional coordinates of all 4 atoms:
1 K 0.000 0.000 0.000
2 K 0.500 0.500 0.412
3 Ru 0.500 0.500 0.752
4 Pb 0.000 0.000 0.663